## MgUTl2Te4 (PBE)

Data for a relaxed structure of MgUTl2Te4.

Geometry as POSCAR:
```
MgUTl2Te4
1.0
7.5550 0.0000 0.0000
0.0000 4.4042 0.0000
-2.5930 0.0000 8.1832
Mg U Tl Te
1 1 2 4
Cartesian
0.0000 0.0000 0.0000 Mg
3.7775 2.2021 0.0000 U
-1.2965 2.2021 4.0916 Tl
2.4810 0.0000 4.0916 Tl
1.2149 2.2021 1.6531 Te
-0.0487 0.0000 6.4313 Te
5.0106 0.0000 1.7519 Te
3.7471 2.2021 6.5301 Te
```

Results
SG = P2/m, No. 10
formation energy from raw total energies = -0.57 eV/atom
N(E_F) = 4.597 states/eV/f.u.

## Y2MgTl3Te6 (PBE)

Data for a relaxed structure of Y2MgTl3Te6.

Geometry as POSCAR:
```
Y2MgTl3Te6
1.0
3.8300 -6.6428 0.0000
3.8300 6.6428 0.0000
-2.5590 0.0000 7.9664
Y Mg Tl Te
2 1 3 6
Cartesian
3.8300 4.4453 0.0000 Y
3.8300 -4.4453 0.0000 Y
3.8300 0.0000 0.0000 Mg
-1.2795 0.0000 3.9832 Tl
2.5505 2.2798 3.9832 Tl
2.5505 -2.2798 3.9832 Tl
0.0280 2.1703 6.2778 Te
1.3312 0.0000 1.7106 Te
0.0280 -2.1703 6.2778 Te
5.0731 2.1703 1.6885 Te
3.7699 0.0000 6.2558 Te
5.0731 -2.1703 1.6885 Te
```

Results
SG = C2/m, No. 12
formation energy from raw total energies = -0.86 eV/atom
N(E_F) = 5.794 states/eV/f.u.

| no. | total DFT energy (no corrections) (eV/atom) |
| --- | --- |
| 1 | -4.34 |
| 2 | -4.23 |